No. 1
Entry from Alexandria: crystalline PCF2 at its relaxed geometry (PBE-GGA).

Unit cell a=4.1360 b=4.1647 c=6.5590 alpha=77.17 beta=80.28 gamma=88.91
Atoms (fractional coordinates):
P (0.0000, 0.0000, 0.0000)
P (0.3523, 0.6529, 0.8319)
C (0.3683, 0.2229, 0.8942)
C (0.6452, 0.0086, 0.8382)
F (0.3788, 0.7409, 0.5801)
F (0.8134, 0.2687, 0.1205)
F (0.8249, 0.1235, 0.6306)
F (0.9845, 0.7484, 0.2221)

## Properties
- ΔE_f (raw) (eV/atom) = -1.047
- E above lowest polymorph (meV per atom) = 0
- SG = No. 1



No. 2
Entry from Alexandria: crystalline PCF2 at its relaxed geometry (PBE-GGA).

Unit cell a=5.6008 b=5.6008 c=5.6008 alpha=120.06 beta=120.06 gamma=89.90
Atoms (fractional coordinates):
P (0.3750, 0.6250, 0.7500)
P (0.6250, 0.3750, 0.2500)
C (0.1250, 0.8750, 0.2500)
C (0.8750, 0.1250, 0.7500)
F (0.0000, 0.0000, 0.0000)
F (0.0000, 0.0000, 0.5000)
F (0.0000, 0.5000, 0.0000)
F (0.5000, 0.0000, 0.5000)

## Properties
- ΔE_f (raw) (eV/atom) = 1.153
- E above lowest polymorph (meV per atom) = 2200
- SG = No. 141



No. 3
Entry from Alexandria: crystalline PCF2 at its relaxed geometry (PBE-GGA).

Unit cell a=5.2598 b=5.4931 c=6.1078 alpha=66.34 beta=87.08 gamma=71.38
Atoms (fractional coordinates):
P (0.0000, 0.0000, 0.0000)
P (0.0077, 0.7944, 0.4128)
C (0.2476, 0.5384, 0.3264)
C (0.2991, 0.6957, 0.1041)
F (0.1154, 0.2610, 0.9479)
F (0.3650, 0.2607, 0.4589)
F (0.5135, 0.6301, 0.9828)
F (0.7450, 0.6876, 0.4617)

## Properties
- ΔE_f (raw) (eV/atom) = -1.002
- E above lowest polymorph (meV per atom) = 46
- SG = No. 1



No. 4
Entry from Alexandria: crystalline PCF2 at its relaxed geometry (PBE-GGA).

Unit cell a=9.8972 b=9.8972 c=9.8972 alpha=14.14 beta=14.14 gamma=14.14
Atoms (fractional coordinates):
P (0.0000, 0.0000, 0.0000)
C (0.5000, 0.5000, 0.5000)
F (0.4532, 0.4532, 0.4532)
F (0.5468, 0.5468, 0.5468)

## Properties
- ΔE_f (raw) (eV/atom) = 0.488
- E above lowest polymorph (meV per atom) = 1535
- SG = No. 166



No. 5
Entry from Alexandria: crystalline PC2F at its relaxed geometry (PBE-GGA).

Unit cell a=6.2067 b=6.2067 c=6.2067 alpha=142.37 beta=142.37 gamma=54.28
Atoms (fractional coordinates):
P (0.3750, 0.6250, 0.7500)
P (0.6250, 0.3750, 0.2500)
C (0.0000, 0.5000, 0.5000)
C (0.5000, 0.0000, 0.0000)
C (0.5000, 0.5000, 0.0000)
C (0.5000, 0.5000, 0.5000)
F (0.1250, 0.8750, 0.2500)
F (0.8750, 0.1250, 0.7500)

## Properties
- ΔE_f (raw) (eV/atom) = 1.204
- E above lowest polymorph (meV per atom) = 0
- SG = No. 141



No. 6
Entry from Alexandria: crystalline PCF2 at its relaxed geometry (PBE-GGA).

Unit cell a=3.9426 b=3.9426 c=3.9426 alpha=60.00 beta=60.00 gamma=60.00
Atoms (fractional coordinates):
P (0.0000, 0.0000, 0.0000)
C (0.5000, 0.5000, 0.5000)
F (0.2500, 0.2500, 0.2500)
F (0.7500, 0.7500, 0.7500)

## Properties
- ΔE_f (raw) (eV/atom) = 1.263
- E above lowest polymorph (meV per atom) = 2311
- SG = No. 225



No. 7
Entry from Alexandria: crystalline PCF2 at its relaxed geometry (PBE-GGA).

Unit cell a=6.2395 b=6.2395 c=6.2395 alpha=29.03 beta=29.03 gamma=29.03
Atoms (fractional coordinates):
P (0.0000, 0.0000, 0.0000)
C (0.6667, 0.6667, 0.6667)
F (0.0926, 0.0926, 0.0926)
F (0.9074, 0.9074, 0.9074)

## Properties
- ΔE_f (raw) (eV/atom) = -0.912
- E above lowest polymorph (meV per atom) = 136
- SG = No. 160



No. 8
Entry from Alexandria: crystalline PCF2 at its relaxed geometry (PBE-GGA).

Unit cell a=9.8071 b=9.8071 c=9.8071 alpha=14.41 beta=14.41 gamma=14.41
Atoms (fractional coordinates):
P (0.0000, 0.0000, 0.0000)
C (0.5000, 0.5000, 0.5000)
F (0.0557, 0.0557, 0.0557)
F (0.9443, 0.9443, 0.9443)

## Properties
- ΔE_f (raw) (eV/atom) = 0.371
- E above lowest polymorph (meV per atom) = 1418
- SG = No. 166